[1]
CaScIn: relaxed, PBE-GGA.

Cell lengths 4.7403, 4.7403, 7.8438 Å; angles 90.00, 90.00, 90.00 degrees
Last column: nearest neighbours and their distance in Å.
Atoms (fractional coordinates):
1 Sc 0.0000 0.5000 0.2631  4 In 3.01
2 Sc 0.5000 0.0000 0.7369  4 In 3.01
3 Ca 0.0000 0.5000 0.8164  5 Sc 3.41-3.50, 4 In 3.43
4 Ca 0.5000 0.0000 0.1836  5 Sc 3.41-3.50, 4 In 3.43
5 In 0.0000 0.0000 0.5000  4 Sc 3.01, 4 In 3.35
6 In 0.5000 0.5000 0.5000  4 Sc 3.01, 4 In 3.35

For the final energy, the calculation gives -11.28 eV per formula unit. The calculated volume comes out at 176.26 Å³/cell. The crystal system is tetragonal. The calculation puts the formation energy at -0.208 eV/f.u. The value obtained for the spin magnetization is 0.0 μB per formula unit. The density of states at the Fermi level is 0.47 states/eV per atom.

=====

[2]
CaScIn2: relaxed, PBE-GGA.

Cell lengths 5.2952, 5.2952, 6.2138 Å; angles 77.80, 77.80, 40.79 degrees
Last column: nearest neighbours and their distance in Å.
Atoms (fractional coordinates):
1 Sc 0.7500 0.7500 0.7500  6 In 3.10-3.11
2 Ca 0.2500 0.2500 0.2500  6 In 3.32, 4 Sc 3.61, 2 Ca 3.69
3 In 0.0057 0.0057 0.9621  3 Sc 3.10-3.11, 2 In 3.24, 3 Ca 3.32
4 In 0.4943 0.4943 0.5379  3 Sc 3.10-3.11, 2 In 3.24, 3 Ca 3.32

For the final energy, the calculation gives -14.89 eV per formula unit. The calculated volume comes out at 110.88 Å³/cell. The crystal system is monoclinic. The calculation puts the formation energy at -1.082 eV/f.u. The value obtained for the spin magnetization is 0.0 μB per formula unit. The density of states at the Fermi level is 0.60 states/eV per atom.